First-principles (PBE) data for a relaxed structure of Ca3Sn5H12, as listed in the Alexandria database.

Computed properties:
electronic total energy: -251.35 eV for the cell shown
density of states at the Fermi level: 0.32 states/eV/atom

```
data_Ca3Sn5H12
_cell_length_a 11.409
_cell_length_b 11.409
_cell_length_c 11.409
_cell_angle_alpha 109.47
_cell_angle_beta 109.47
_cell_angle_gamma 109.47
_space_group_name_H-M_alt 'P 1'
_space_group_IT_number 1
loop_
_space_group_symop_operation_xyz
'x,y,z'
loop_
_atom_site_label
_atom_site_fract_x
_atom_site_fract_y
_atom_site_fract_z
_atom_site_occupancy
Sn1 0.750 0.125 0.875 1
Sn2 0.000 0.000 0.000 1
H1 0.841 0.923 0.274 1
Sn3 0.125 0.750 0.375 1
Sn4 0.875 0.250 0.625 1
H2 0.433 0.774 0.851 1
H3 0.082 0.923 0.149 1
H4 0.918 0.841 0.567 1
H5 0.923 0.082 0.649 1
Sn5 0.875 0.625 0.750 1
H6 0.933 0.582 0.159 1
Sn6 0.000 0.500 0.000 1
Sn7 0.375 0.125 0.750 1
H7 0.149 0.726 0.567 1
H8 0.341 0.567 0.418 1
H9 0.918 0.077 0.851 1
H10 0.341 0.774 0.423 1
H11 0.274 0.423 0.841 1
Sn8 0.500 0.000 0.500 1
H12 0.226 0.567 0.649 1
Ca1 0.875 0.125 0.250 1
H13 0.567 0.226 0.149 1
Sn9 0.750 0.625 0.375 1
H14 0.923 0.841 0.774 1
H15 0.774 0.341 0.923 1
H16 0.649 0.067 0.226 1
Ca2 0.750 0.375 0.125 1
H17 0.774 0.433 0.351 1
H18 0.433 0.659 0.082 1
H19 0.577 0.726 0.659 1
H20 0.418 0.067 0.341 1
H21 0.351 0.418 0.077 1
H22 0.577 0.851 0.418 1
H23 0.149 0.423 0.082 1
H24 0.659 0.226 0.577 1
H25 0.159 0.082 0.933 1
H26 0.226 0.659 0.077 1
H27 0.423 0.149 0.582 1
Ca3 0.250 0.625 0.875 1
Sn10 0.500 0.000 0.000 1
Sn11 0.625 0.750 0.875 1
H28 0.582 0.649 0.423 1
H29 0.077 0.159 0.226 1
Sn12 0.000 0.000 0.500 1
Sn13 0.500 0.500 0.500 1
Ca4 0.750 0.875 0.625 1
H30 0.067 0.649 0.726 1
H31 0.077 0.918 0.351 1
Ca5 0.125 0.250 0.875 1
Sn14 0.375 0.250 0.125 1
Ca6 0.625 0.375 0.750 1
H32 0.726 0.149 0.067 1
H33 0.423 0.274 0.341 1
Sn15 0.625 0.875 0.250 1
Sn16 0.250 0.375 0.625 1
Ca7 0.625 0.250 0.375 1
Sn17 0.000 0.500 0.500 1
H34 0.726 0.577 0.159 1
H35 0.851 0.274 0.433 1
H36 0.159 0.077 0.726 1
Ca8 0.125 0.875 0.750 1
Ca9 0.250 0.125 0.375 1
H37 0.082 0.159 0.433 1
Ca10 0.375 0.750 0.625 1
H38 0.567 0.341 0.918 1
H39 0.351 0.933 0.774 1
Sn18 0.250 0.875 0.125 1
Sn19 0.500 0.500 0.000 1
Ca11 0.375 0.625 0.250 1
H40 0.067 0.418 0.841 1
H41 0.649 0.582 0.923 1
H42 0.659 0.433 0.582 1
H43 0.933 0.351 0.274 1
Ca12 0.875 0.750 0.125 1
H44 0.274 0.851 0.933 1
H45 0.418 0.351 0.577 1
H46 0.851 0.577 0.918 1
H47 0.582 0.933 0.659 1
Sn20 0.125 0.375 0.250 1
H48 0.841 0.918 0.067 1
```